# Ca2Tl5Cd GGA-PBE relaxed
# - Electronic total energy: -0.1711 Ry per atom
# - Size of the total moment: 0.0 μB per formula unit
data_Ca2Tl5Cd
_chemical_formula_sum 'Ca4 Tl10 Cd2'
_symmetry_space_group_name_H-M 'P b a m'
_symmetry_Int_Tables_number 55
_symmetry_space_group_name_Hall '-P 2 2ab'
_cell_length_a 6.754
_cell_length_b 13.517
_cell_length_c 4.936
_cell_angle_alpha 90.00
_cell_angle_beta 90.00
_cell_angle_gamma 90.00
loop_
_atom_site_label
_atom_site_type_symbol
_atom_site_fract_x
_atom_site_fract_y
_atom_site_fract_z
Ca1 Ca 0.235 0.128 0.000
Tl1 Tl 0.000 0.000 0.500
Tl2 Tl 0.013 0.746 0.500
Tl3 Tl 0.233 0.381 0.000
Cd1 Cd 0.000 0.500 0.500

=====

# Ba2HfGePd GGA-PBE relaxed
# - Electronic total energy: -0.3279 Ry per atom
# - Size of the total moment: 0.0 μB per formula unit
data_Ba2HfGePd
_chemical_formula_sum 'Ba2 Hf1 Ge1 Pd1'
_symmetry_space_group_name_H-M 'P 4/m m m'
_symmetry_Int_Tables_number 123
_symmetry_space_group_name_Hall '-P 4 2'
_cell_length_a 6.084
_cell_length_b 6.084
_cell_length_c 5.065
_cell_angle_alpha 90.00
_cell_angle_beta 90.00
_cell_angle_gamma 90.00
loop_
_atom_site_label
_atom_site_type_symbol
_atom_site_fract_x
_atom_site_fract_y
_atom_site_fract_z
Ba1 Ba 0.000 0.500 0.000
Hf1 Hf 0.000 0.000 0.500
Ge1 Ge 0.500 0.500 0.500
Pd1 Pd 0.000 0.000 0.000

=====

# LiEuHgSb GGA-PBE relaxed
# - Electronic total energy: -0.3551 Ry per atom
# - Size of the total moment: 7.0 μB per formula unit
# - Energy relative to the elements, uncorrected: -2.71 eV/f.u.
data_LiEuHgSb
_chemical_formula_sum 'Li4 Eu4 Hg4 Sb4'
_symmetry_space_group_name_H-M 'F -4 3 m'
_symmetry_Int_Tables_number 216
_symmetry_space_group_name_Hall 'F -4 2 3'
_cell_length_a 7.484
_cell_length_b 7.484
_cell_length_c 7.484
_cell_angle_alpha 90.00
_cell_angle_beta 90.00
_cell_angle_gamma 90.00
loop_
_atom_site_label
_atom_site_type_symbol
_atom_site_fract_x
_atom_site_fract_y
_atom_site_fract_z
Li1 Li 0.000 0.000 0.000
Eu1 Eu 0.000 0.000 0.500
Hg1 Hg 0.250 0.250 0.750
Sb1 Sb 0.250 0.250 0.250

=====

# Cs2LiAuF6 GGA-PBE relaxed
# - Electronic total energy: -0.2866 Ry per atom
# - Size of the total moment: 2.0 μB per formula unit
# - Energy relative to the elements, uncorrected: -20.87 eV/f.u.
data_Cs2LiAuF6
_chemical_formula_sum 'Cs4 Li2 Au2 F12'
_symmetry_space_group_name_H-M 'I 4/m m m'
_symmetry_Int_Tables_number 139
_symmetry_space_group_name_Hall '-I 4 2'
_cell_length_a 6.201
_cell_length_b 6.201
_cell_length_c 8.977
_cell_angle_alpha 90.00
_cell_angle_beta 90.00
_cell_angle_gamma 90.00
loop_
_atom_site_label
_atom_site_type_symbol
_atom_site_fract_x
_atom_site_fract_y
_atom_site_fract_z
Cs1 Cs 0.000 0.500 0.250
Li1 Li 0.000 0.000 0.000
Au1 Au 0.000 0.000 0.500
F1 F 0.000 0.000 0.258
F2 F 0.249 0.249 0.500

=====

# MgCd4 GGA-PBE relaxed
# - Electronic total energy: -0.0510 Ry per atom
# - Size of the total moment: 0.0 μB per formula unit
data_MgCd4
_chemical_formula_sum 'Mg1 Cd4'
_symmetry_space_group_name_H-M 'P m -3 m'
_symmetry_Int_Tables_number 221
_symmetry_space_group_name_Hall '-P 4 2 3'
_cell_length_a 5.440
_cell_length_b 5.440
_cell_length_c 5.440
_cell_angle_alpha 90.00
_cell_angle_beta 90.00
_cell_angle_gamma 90.00
loop_
_atom_site_label
_atom_site_type_symbol
_atom_site_fract_x
_atom_site_fract_y
_atom_site_fract_z
Mg1 Mg 0.000 0.000 0.000
Cd1 Cd 0.000 0.000 0.500
Cd2 Cd 0.500 0.500 0.500

=====

# TbPmCoAu GGA-PBE relaxed
# - Electronic total energy: -0.3906 Ry per atom
# - Size of the total moment: 0.5 μB per formula unit
data_TbPmCoAu
_chemical_formula_sum 'Tb4 Pm4 Co4 Au4'
_symmetry_space_group_name_H-M 'F -4 3 m'
_symmetry_Int_Tables_number 216
_symmetry_space_group_name_Hall 'F -4 2 3'
_cell_length_a 7.090
_cell_length_b 7.090
_cell_length_c 7.090
_cell_angle_alpha 90.00
_cell_angle_beta 90.00
_cell_angle_gamma 90.00
loop_
_atom_site_label
_atom_site_type_symbol
_atom_site_fract_x
_atom_site_fract_y
_atom_site_fract_z
Tb1 Tb 0.000 0.000 0.000
Pm1 Pm 0.000 0.000 0.500
Co1 Co 0.250 0.250 0.250
Au1 Au 0.250 0.250 0.750